(1)
Entry from Alexandria via LeMat-Bulk: crystalline LiLuTl2 at its relaxed geometry (PBE).

Properties
ΔH_f (0 K) in eV per atom: -0.27
SG: No. 225

Lattice parameters (Å, degrees): 7.258 7.258 7.258 90.00 90.00 90.00
Element x y z (fractional)
Li (0.000, 0.000, 0.000)
Li (0.000, 0.500, 0.500)
Li (0.500, 0.000, 0.500)
Li (0.500, 0.500, 0.000)
Lu (0.000, 0.000, 0.500)
Lu (0.000, 0.500, 0.000)
Lu (0.500, 0.000, 0.000)
Lu (0.500, 0.500, 0.500)
Tl (0.250, 0.250, 0.250)
Tl (0.250, 0.250, 0.750)
Tl (0.250, 0.750, 0.250)
Tl (0.250, 0.750, 0.750)
Tl (0.750, 0.250, 0.250)
Tl (0.750, 0.250, 0.750)
Tl (0.750, 0.750, 0.250)
Tl (0.750, 0.750, 0.750)

(2)
Entry from Alexandria via LeMat-Bulk: crystalline KYNi2 at its relaxed geometry (PBE).

Properties
ΔH_f (0 K) in eV per atom: 0.03
SG: No. 160
ΔE to the lowest computed polymorph in kJ/mol of formula units: 0

Lattice parameters (Å, degrees): 4.015 4.015 23.908 90.00 90.00 120.00
Element x y z (fractional)
K (0.000, 0.000, 0.000)
K (0.333, 0.667, 0.667)
K (0.667, 0.333, 0.333)
Y (0.000, 0.000, 0.172)
Y (0.333, 0.667, 0.839)
Y (0.667, 0.333, 0.505)
Ni (0.000, 0.000, 0.439)
Ni (0.000, 0.000, 0.773)
Ni (0.333, 0.667, 0.106)
Ni (0.333, 0.667, 0.439)
Ni (0.667, 0.333, 0.106)
Ni (0.667, 0.333, 0.772)

(3)
Entry from Alexandria via LeMat-Bulk: crystalline CoTeW2 at its relaxed geometry (PBE).

Properties
SG: No. 216
Uncorrected formation energy in kJ per mole of atoms: 72.4

Lattice parameters (Å, degrees): 6.408 6.408 6.408 90.00 90.00 90.00
Element x y z (fractional)
Co (0.000, 0.000, 0.000)
Co (0.000, 0.500, 0.500)
Co (0.500, 0.000, 0.500)
Co (0.500, 0.500, 0.000)
Te (0.250, 0.250, 0.250)
Te (0.250, 0.750, 0.750)
Te (0.750, 0.250, 0.750)
Te (0.750, 0.750, 0.250)
W (0.000, 0.000, 0.500)
W (0.000, 0.500, 0.000)
W (0.250, 0.250, 0.750)
W (0.250, 0.750, 0.250)
W (0.500, 0.000, 0.000)
W (0.500, 0.500, 0.500)
W (0.750, 0.250, 0.250)
W (0.750, 0.750, 0.750)

(4)
Entry from Alexandria via LeMat-Bulk: crystalline La4TlBi5 at its relaxed geometry (PBE).

Properties
ΔH_f (0 K) in eV per atom: -0.76
SG: No. 71

Lattice parameters (Å, degrees): 8.996 8.996 8.996 150.48 98.66 88.81
Element x y z (fractional)
La (0.208, 0.500, 0.708)
La (0.245, 0.245, 0.000)
La (0.755, 0.755, 0.000)
La (0.792, 0.500, 0.292)
Tl (0.500, 0.500, 0.000)
Bi (0.000, 0.000, 0.000)
Bi (0.159, 0.836, 0.323)
Bi (0.487, 0.164, 0.323)
Bi (0.513, 0.836, 0.677)
Bi (0.841, 0.164, 0.677)

Number 1: total DFT energy (no corrections) -3.067 eV per atom. Number 2: total DFT energy (no corrections) -4.749 eV per atom. Number 3: total DFT energy (no corrections) -8.288 eV per atom. Number 4: total DFT energy (no corrections) -4.909 eV per atom.